1.
RbSNO4 after structural relaxation, computed with PBE-GGA.

- Total DFT energy (no corrections): -5.208 eV/atom
- Total magnetic moment: 4.01 μB/f.u.
- Uncorrected formation energy: -458 meV/atom

Unit cell a=7.4644 b=6.3004 c=12.4938 alpha=90.00 beta=90.00 gamma=90.00
Space group Pnma (No. 62)
Symmetry-distinct sites (fractional):
1 Rb 0.2442 0.2500 0.0867 [4 per cell]
2 S 0.2421 0.2500 0.4141 [4 per cell]
3 N 0.1080 0.7500 0.2396 [4 per cell]
4 O 0.1270 0.2500 0.5107 [4 per cell]
5 O 0.1305 0.2500 0.3149 [4 per cell]
6 O 0.1435 0.5564 0.9123 [8 per cell]


2.
GePtO2 after structural relaxation, computed with PBE-GGA.

- Total DFT energy (no corrections): -5.946 eV/atom
- Total magnetic moment: 0.00 μB/f.u.
- Uncorrected formation energy: -802 meV/atom

Unit cell a=10.8112 b=3.0564 c=6.6778 alpha=90.00 beta=119.35 gamma=90.00
Space group Cm (No. 8)
Symmetry-distinct sites (fractional):
1 Ge 0.0000 0.0000 0.0000 [2 per cell]
2 Ge 0.1465 0.5000 0.5307 [2 per cell]
3 Pt 0.3060 0.5000 0.0588 [2 per cell]
4 Pt 0.3866 0.0000 0.4159 [2 per cell]
5 O 0.0817 0.5000 0.9740 [2 per cell]
6 O 0.1511 0.0000 0.3338 [2 per cell]
7 O 0.1940 0.0000 0.7398 [2 per cell]
8 O 0.3723 0.5000 0.6346 [2 per cell]